[1]
Tl2Cu2Sn PBE-GGA relaxed; ΔH_f (0 K) = 1.771 eV/f.u.; E above lowest polymorph = 152 meV/atom; magnetization = 0.00 μB per formula unit; DFT total energy = -3.031 eV/atom; mass density = 9.51 g/cm3; SG = I4/mmm (139)
1.0
4.368 0.000 0.000
0.000 4.368 0.000
2.184 2.184 5.988
Tl Cu Sn
2 2 1
Cartesian
4.368 2.184 2.994
2.184 4.368 2.994
4.368 4.368 4.814
2.184 2.184 1.174
0.000 0.000 0.000

***

[2]
TlCuSn2 PBE-GGA relaxed; ΔH_f (0 K) = 0.869 eV/f.u.; E above lowest polymorph = 164 meV/atom; magnetization = 0.00 μB per formula unit; DFT total energy = -3.400 eV/atom; mass density = 7.50 g/cm3; SG = I-42d (122)
1.0
-4.695 -1.842 0.842
1.060 -4.046 -2.942
1.074 -7.176 5.811
Cu Tl Sn
2 2 4
Cartesian
0.158 -7.083 0.909
-1.818 -2.944 -1.050
-2.719 -5.981 2.802
0.000 0.000 0.000
-0.033 -4.701 -0.213
-0.472 -7.914 3.334
-2.157 -3.303 1.544
-2.460 -10.209 2.757

***

[3]
Tl2CuSn6 PBE-GGA relaxed; ΔH_f (0 K) = 0.334 eV/f.u.; magnetization = 0.00 μB per formula unit; DFT total energy = -3.612 eV/atom; mass density = 7.95 g/cm3; SG = C2/m (12)
1.0
6.170 -0.034 -0.020
0.033 6.810 0.013
0.033 3.404 5.898
Sn Tl Cu
6 2 1
Cartesian
4.326 5.061 1.001
4.326 3.390 3.889
1.909 6.792 2.003
4.305 1.700 0.984
1.931 8.481 4.908
1.909 5.120 4.891
5.104 6.795 3.933
1.132 3.386 1.959
0.000 0.000 0.000

***

[4]
TlCuSn3 PBE-GGA relaxed; ΔH_f (0 K) = 0.422 eV/f.u.; E above lowest polymorph = 27 meV/atom; magnetization = 0.00 μB per formula unit; DFT total energy = -3.610 eV/atom; mass density = 7.68 g/cm3; SG = C2/m (12)
1.0
4.983 0.000 0.000
0.000 5.120 0.000
-2.491 -2.560 10.583
Cu Sn Tl
2 6 2
Cartesian
1.257 0.000 3.427
1.235 2.560 7.156
1.244 2.560 9.748
-1.254 2.560 6.279
3.747 0.000 4.304
1.248 0.000 0.835
1.266 0.000 6.434
1.227 2.560 4.148
3.732 2.560 1.551
-1.239 0.000 9.032